Entry from Alexandria via LeMat-Bulk: crystalline Pr2PuNiO8 at its relaxed geometry (GGA+U).

It has space group P-1 (No. 2), with a = 4.3619 Å, b = 5.3240 Å, c = 7.5752 Å, α = 80.13°, β = 85.42° and γ = 79.96°. The inequivalent atoms are Pr at (0.0407, 0.0626, 0.2311), Pu at (0.5000, 0.5000, 0.5000), Ni at (0.5000, 0.5000, 0.0000), O at (0.0933, 0.7216, 0.5083), O at (0.1758, 0.7491, 0.0411), O at (0.4022, 0.2198, 0.6736) and O at (0.4652, 0.3222, 0.2410).

As for the magnetic moment: 0.01 μB/cell. The uncorrected energy is -7.86 eV per atom.